Entry from Alexandria via LeMat-Bulk: CrIr2Br after structural relaxation (GGA-PBE).

Summary:
Uncorrected formation energy (meV/atom): 476
Crystal system: orthorhombic

a = 3.6347 Å, b = 2.9149 Å, c = 6.8273 Å
α = 90.00°, β = 90.00°, γ = 90.00°
Last column: nearest neighbours and their distance in Å.
Sites, in units of the cell vectors:
Br1 0.0000 0.5001 0.5117  2 Cr 2.69, 2 Br 2.91, 2 Ir 2.92
Cr1 0.5000 0.4999 0.8027  5 Ir 2.56-2.72, 2 Br 2.69
Ir1 0.0000 0.0000 0.0083  4 Ir 2.60, 4 Cr 2.72
Ir2 0.5000 0.5000 0.1773  1 Cr 2.56, 4 Ir 2.60

=====

Entry from Alexandria via LeMat-Bulk: Er2ThNi after structural relaxation (GGA-PBE).

Summary:
Crystal system: orthorhombic
Energy of formation (eV/atom): -0.24

a = 6.3259 Å, b = 6.8358 Å, c = 9.6430 Å
α = 90.00°, β = 90.00°, γ = 90.00°
Last column: nearest neighbours and their distance in Å.
Sites, in units of the cell vectors:
Er1 0.1694 0.6791 0.0674  2 Ni 2.79-2.82
Er2 0.3306 0.1791 0.4326  2 Ni 2.79-2.82
Er3 0.8306 0.3209 0.5674  2 Ni 2.79-2.82
Er4 0.6694 0.8209 0.9326  2 Ni 2.79-2.82
Er5 0.8306 0.3209 0.9326  2 Ni 2.79-2.82
Er6 0.6694 0.8209 0.5674  2 Ni 2.79-2.82
Er7 0.1694 0.6791 0.4326  2 Ni 2.79-2.82
Er8 0.3306 0.1791 0.0674  2 Ni 2.79-2.82
Th1 0.6517 0.5386 0.2500  2 Ni 2.68-2.79
Th2 0.8483 0.0386 0.2500  2 Ni 2.68-2.79
Th3 0.3483 0.4614 0.7500  2 Ni 2.68-2.79
Th4 0.1517 0.9614 0.7500  2 Ni 2.68-2.79
Ni1 0.0579 0.3792 0.2500  2 Th 2.68-2.79, 4 Er 2.79-2.82
Ni2 0.4421 0.8792 0.2500  2 Th 2.68-2.79, 4 Er 2.79-2.82
Ni3 0.9421 0.6208 0.7500  2 Th 2.68-2.79, 4 Er 2.79-2.82
Ni4 0.5579 0.1208 0.7500  2 Th 2.68-2.79, 4 Er 2.79-2.82

=====

Entry from Alexandria via LeMat-Bulk: PmSmTh2Sb5 after structural relaxation (GGA-PBE).

Summary:
Uncorrected formation energy (meV/atom): -121
Crystal system: tetragonal

a = 5.3239 Å, b = 5.3239 Å, c = 11.6351 Å
α = 90.00°, β = 90.00°, γ = 90.00°
Last column: nearest neighbours and their distance in Å.
Sites, in units of the cell vectors:
Pm1 0.0000 0.0000 0.0000  2 Sb 2.90
Sm1 0.0000 0.0000 0.5000  6 Sb 2.66-2.92
Th1 0.5000 0.5000 0.3030  9 Sb 3.51-3.82
Th2 0.5000 0.5000 0.6970  9 Sb 3.51-3.82
Sb1 0.0000 0.5000 0.5000  2 Sm 2.66
Sb2 0.5000 0.0000 0.5000  2 Sm 2.66
Sb3 0.0000 0.0000 0.7509  1 Pm 2.90, 1 Sm 2.92
Sb4 0.0000 0.0000 0.2491  1 Pm 2.90, 1 Sm 2.92
Sb5 0.5000 0.5000 0.0000  2 Th 3.53, 4 Pm 3.76

=====

Entry from Alexandria via LeMat-Bulk: LiTeRhO6 after structural relaxation (GGA-PBE).

Summary:
Uncorrected formation energy (meV/atom): -967
Crystal system: trigonal

a = 5.1912 Å, b = 5.1912 Å, c = 9.3766 Å
α = 90.00°, β = 90.00°, γ = 120.00°
Last column: nearest neighbours and their distance in Å.
Sites, in units of the cell vectors:
Li1 0.0000 0.0000 0.0000  6 O 2.26
Li2 0.0000 0.0000 0.5000  6 O 2.26
Te1 0.6667 0.3333 0.2500  6 O 1.97
Te2 0.3333 0.6667 0.7500  6 O 1.97
Rh1 0.3333 0.6667 0.2500  6 O 1.99
Rh2 0.6667 0.3333 0.7500  6 O 1.99
O1 0.6428 0.6404 0.1363  1 Te 1.97, 1 Rh 1.99
O2 0.9976 0.3572 0.1363  1 Te 1.97, 1 Rh 1.99
O3 0.3572 0.9976 0.6363  1 Te 1.97, 1 Rh 1.99
O4 0.0024 0.6428 0.8637  1 Te 1.97, 1 Rh 1.99
O5 0.3596 0.3572 0.3637  1 Te 1.97, 1 Rh 1.99
O6 0.9976 0.6404 0.3637  1 Te 1.97, 1 Rh 1.99
O7 0.6404 0.9976 0.8637  1 Te 1.97, 1 Rh 1.99
O8 0.6428 0.0024 0.3637  1 Te 1.97, 1 Rh 1.99
O9 0.0024 0.3596 0.6363  1 Te 1.97, 1 Rh 1.99
O10 0.3596 0.0024 0.1363  1 Te 1.97, 1 Rh 1.99
O11 0.6404 0.6428 0.6363  1 Te 1.97, 1 Rh 1.99
O12 0.3572 0.3596 0.8637  1 Te 1.97, 1 Rh 1.99

=====

Entry from Alexandria via LeMat-Bulk: AcHfAs2 after structural relaxation (GGA-PBE).

Summary:
Crystal system: cubic
Energy of formation (eV/atom): -0.66

a = 5.0993 Å, b = 5.0993 Å, c = 5.0993 Å
α = 60.00°, β = 60.00°, γ = 60.00°
Last column: nearest neighbours and their distance in Å.
Sites, in units of the cell vectors:
Ac1 0.0000 0.0000 0.0000  8 As 3.12
Hf1 0.5000 0.5000 0.5000  8 As 3.12
As1 0.2500 0.2500 0.2500  4 Hf 3.12, 4 Ac 3.12
As2 0.7500 0.7500 0.7500  4 Ac 3.12, 4 Hf 3.12

=====

Entry from Alexandria via LeMat-Bulk: BaNpN3 after structural relaxation (GGA-PBE).

Summary:
Uncorrected formation energy (meV/atom): -670
Crystal system: hexagonal

a = 10.7296 Å, b = 10.7296 Å, c = 5.7138 Å
α = 90.00°, β = 90.00°, γ = 120.00°
Last column: nearest neighbours and their distance in Å.
Sites, in units of the cell vectors:
Ba1 0.0000 0.6657 0.6899  9 N 2.93-3.20
Ba2 0.6657 0.6657 0.1899  9 N 2.93-3.20
Ba3 0.3343 0.0000 0.1899  9 N 2.93-3.20
Ba4 0.6657 0.0000 0.6899  9 N 2.93-3.20
Ba5 0.3343 0.3343 0.6899  9 N 2.93-3.20
Ba6 0.0000 0.3343 0.1899  9 N 2.93-3.20
Np1 0.0000 0.0000 0.0626  6 N 2.09-2.15
Np2 0.0000 0.0000 0.5626  6 N 2.09-2.15
Np3 0.6667 0.3333 0.8278  6 N 2.09-2.14
Np4 0.3333 0.6667 0.3278  6 N 2.09-2.14
Np5 0.6667 0.3333 0.3278  6 N 2.09-2.14
Np6 0.3333 0.6667 0.8278  6 N 2.09-2.14
N1 0.8125 0.3332 0.5712  2 Np 2.09-2.14
N2 0.5207 0.1875 0.5712  2 Np 2.09-2.14
N3 0.6668 0.4793 0.5712  2 Np 2.09-2.14
N4 0.3332 0.5207 0.0712  2 Np 2.09-2.14
N5 0.1875 0.6668 0.0712  2 Np 2.09-2.14
N6 0.4793 0.8125 0.0712  2 Np 2.09-2.14
N7 0.6668 0.1875 0.0712  2 Np 2.09-2.14
N8 0.1875 0.5207 0.5712  2 Np 2.09-2.14
N9 0.4793 0.6668 0.5712  2 Np 2.09-2.14
N10 0.5207 0.3332 0.0712  2 Np 2.09-2.14
N11 0.8125 0.4793 0.0712  2 Np 2.09-2.14
N12 0.3332 0.8125 0.5712  2 Np 2.09-2.14
N13 0.1459 0.0000 0.8196  2 Np 2.09-2.15
N14 0.0000 0.8541 0.3196  2 Np 2.09-2.15
N15 0.1459 0.1459 0.3196  2 Np 2.09-2.15
N16 0.8541 0.8541 0.8196  2 Np 2.09-2.15
N17 0.0000 0.1459 0.8196  2 Np 2.09-2.15
N18 0.8541 0.0000 0.3196  2 Np 2.09-2.15

=====

Entry from Alexandria via LeMat-Bulk: SrAc2SnN4 after structural relaxation (GGA-PBE).

Summary:
Uncorrected formation energy (meV/atom): -624
Crystal system: orthorhombic

a = 3.7656 Å, b = 6.7529 Å, c = 13.1157 Å
α = 90.00°, β = 90.00°, γ = 106.19°
Last column: nearest neighbours and their distance in Å.
Sites, in units of the cell vectors:
Sr1 0.1030 0.2059 0.7500  6 N 2.96-3.03
Sr2 0.8970 0.7941 0.2500  6 N 2.96-3.03
Ac1 0.3708 0.7417 0.5369  5 N 2.52-2.82
Ac2 0.6292 0.2583 0.0369  5 N 2.52-2.82
Ac3 0.6292 0.2583 0.4631  5 N 2.52-2.82
Ac4 0.3708 0.7417 0.9631  5 N 2.52-2.82
Sn1 0.8306 0.6612 0.7500  4 N 2.06-2.26
Sn2 0.1694 0.3388 0.2500  4 N 2.06-2.26
N1 0.2650 0.5300 0.1244  1 Sn 2.06
N2 0.7350 0.4700 0.6244  1 Sn 2.06
N3 0.7350 0.4700 0.8756  1 Sn 2.06
N4 0.2650 0.5300 0.3756  1 Sn 2.06
N5 0.0000 0.0000 0.5000  4 Ac 2.57
N6 0.0000 0.0000 0.0000  4 Ac 2.57
N7 0.4269 0.8538 0.7500  2 Sn 2.26
N8 0.5731 0.1462 0.2500  2 Sn 2.26

=====

Entry from Alexandria via LeMat-Bulk: NdCdCuPd after structural relaxation (GGA-PBE).

Summary:
Crystal system: cubic
Energy of formation (eV/atom): -0.39

a = 4.8789 Å, b = 4.8789 Å, c = 4.8789 Å
α = 60.00°, β = 60.00°, γ = 60.00°
Last column: nearest neighbours and their distance in Å.
Sites, in units of the cell vectors:
Nd1 0.2500 0.2500 0.2500  4 Cu 2.99, 4 Pd 2.99
Cu1 0.0000 0.0000 0.0000  4 Cd 2.99, 4 Nd 2.99
Pd1 0.5000 0.5000 0.5000  4 Nd 2.99, 4 Cd 2.99
Cd1 0.7500 0.7500 0.7500  4 Cu 2.99, 4 Pd 2.99

=====

Entry from Alexandria via LeMat-Bulk: BeTl2W after structural relaxation (GGA-PBE).

Summary:
Crystal system: tetragonal
Energy of formation (eV/atom): 0.71

a = 3.2813 Å, b = 3.2783 Å, c = 7.5753 Å
α = 90.00°, β = 90.00°, γ = 90.00°
Last column: nearest neighbours and their distance in Å.
Sites, in units of the cell vectors:
Be1 0.5000 0.5000 0.6563  4 W 2.39
Tl1 0.0000 0.0000 0.9616  1 W 2.89
Tl2 0.5000 0.5000 0.3023  1 Be 2.68
W1 0.0000 0.0000 0.5798  4 Be 2.39

=====

Entry from Alexandria via LeMat-Bulk: MgTa2PPt after structural relaxation (GGA-PBE).

Summary:
Crystal system: tetragonal
Energy of formation (eV/atom): 1.69

a = 4.7828 Å, b = 4.2530 Å, c = 4.7828 Å
α = 90.00°, β = 90.00°, γ = 90.00°
Last column: nearest neighbours and their distance in Å.
Sites, in units of the cell vectors:
P1 0.0000 0.5000 0.0000  2 Mg 2.13
Mg1 0.0000 0.0000 0.0000  2 P 2.13
Pt1 0.5000 0.5000 0.5000  8 Ta 3.20, 4 P 3.38
Ta1 0.0000 0.0000 0.5000  2 Mg 2.39
Ta2 0.5000 0.0000 0.0000  2 Mg 2.39